Record 1
The following is a DFT calculation (SCAN) of KMg3B at its PBEsol-relaxed geometry.

```
data_KMg3B
_cell_length_a 6.132
_cell_length_b 6.132
_cell_length_c 6.132
_cell_angle_alpha 90.00
_cell_angle_beta 90.00
_cell_angle_gamma 90.00
_space_group_name_H-M_alt 'P m -3 m'
_space_group_IT_number 221
_space_group_name_Hall '-P 4 2 3'
loop_
_atom_site_label
_atom_site_fract_x
_atom_site_fract_y
_atom_site_fract_z
_atom_site_occupancy
K1 0.000 0.000 0.000 1
Mg1 0.000 0.000 0.500 1
B1 0.500 0.500 0.500 1
```

DFT formation energy in eV per atom: 2.08

---

Record 2
The following is a DFT calculation (SCAN) of K2MgB at its PBEsol-relaxed geometry.

```
data_K2MgB
_cell_length_a 7.899
_cell_length_b 7.899
_cell_length_c 7.899
_cell_angle_alpha 90.00
_cell_angle_beta 90.00
_cell_angle_gamma 90.00
_space_group_name_H-M_alt 'F m -3 m'
_space_group_IT_number 225
_space_group_name_Hall '-F 4 2 3'
loop_
_atom_site_label
_atom_site_fract_x
_atom_site_fract_y
_atom_site_fract_z
_atom_site_occupancy
K1 0.250 0.250 0.250 1
Mg1 0.000 0.000 0.000 1
B1 0.000 0.000 0.500 1
```

DFT formation energy in eV per atom: 1.12

---

Record 3
The following is a DFT calculation (SCAN) of K2MgB at its PBEsol-relaxed geometry.

```
data_K2MgB
_cell_length_a 11.901
_cell_length_b 11.901
_cell_length_c 4.528
_cell_angle_alpha 90.00
_cell_angle_beta 90.00
_cell_angle_gamma 90.00
_space_group_name_H-M_alt 'I -4 2 d'
_space_group_IT_number 122
_space_group_name_Hall 'I -4 2bw'
loop_
_atom_site_label
_atom_site_fract_x
_atom_site_fract_y
_atom_site_fract_z
_atom_site_occupancy
K1 0.068 0.250 0.125 1
Mg1 0.000 0.000 0.500 1
B1 0.000 0.000 0.000 1
```

DFT formation energy in eV per atom: 0.66

---

Record 4
The following is a DFT calculation (SCAN) of KMg3B at its PBEsol-relaxed geometry.

```
data_KMg3B
_cell_length_a 4.837
_cell_length_b 4.837
_cell_length_c 4.837
_cell_angle_alpha 90.00
_cell_angle_beta 90.00
_cell_angle_gamma 90.00
_space_group_name_H-M_alt 'P m -3 m'
_space_group_IT_number 221
_space_group_name_Hall '-P 4 2 3'
loop_
_atom_site_label
_atom_site_fract_x
_atom_site_fract_y
_atom_site_fract_z
_atom_site_occupancy
K1 0.000 0.000 0.000 1
Mg1 0.000 0.500 0.500 1
B1 0.500 0.500 0.500 1
```

DFT formation energy in eV per atom: 0.40

---

Record 5
The following is a DFT calculation (SCAN) of KMgB3 at its PBEsol-relaxed geometry.

```
data_KMgB3
_cell_length_a 4.525
_cell_length_b 4.525
_cell_length_c 4.525
_cell_angle_alpha 90.00
_cell_angle_beta 90.00
_cell_angle_gamma 90.00
_space_group_name_H-M_alt 'P m -3 m'
_space_group_IT_number 221
_space_group_name_Hall '-P 4 2 3'
loop_
_atom_site_label
_atom_site_fract_x
_atom_site_fract_y
_atom_site_fract_z
_atom_site_occupancy
K1 0.000 0.000 0.000 1
Mg1 0.500 0.500 0.500 1
B1 0.000 0.500 0.500 1
```

DFT formation energy in eV per atom: 1.96

---

Record 6
The following is a DFT calculation (SCAN) of K2MgTaB at its PBEsol-relaxed geometry.

```
data_K2MgTaB
_cell_length_a 6.726
_cell_length_b 6.726
_cell_length_c 4.106
_cell_angle_alpha 90.00
_cell_angle_beta 90.00
_cell_angle_gamma 90.00
_space_group_name_H-M_alt 'P 4/m m m'
_space_group_IT_number 123
_space_group_name_Hall '-P 4 2'
loop_
_atom_site_label
_atom_site_fract_x
_atom_site_fract_y
_atom_site_fract_z
_atom_site_occupancy
K1 0.000 0.500 0.000 1
Mg1 0.000 0.000 0.500 1
Ta1 0.500 0.500 0.000 1
B1 0.500 0.500 0.500 1
```

DFT formation energy in eV per atom: 1.37

---

Record 7
The following is a DFT calculation (SCAN) of K2MnB at its PBEsol-relaxed geometry.

```
data_K2MnB
_cell_length_a 11.996
_cell_length_b 11.996
_cell_length_c 3.965
_cell_angle_alpha 90.00
_cell_angle_beta 90.00
_cell_angle_gamma 90.00
_space_group_name_H-M_alt 'I -4 2 d'
_space_group_IT_number 122
_space_group_name_Hall 'I -4 2bw'
loop_
_atom_site_label
_atom_site_fract_x
_atom_site_fract_y
_atom_site_fract_z
_atom_site_occupancy
K1 0.055 0.250 0.125 1
Mn1 0.000 0.000 0.500 1
B1 0.000 0.000 0.000 1
```

DFT formation energy in eV per atom: 0.58

---

Record 8
The following is a DFT calculation (SCAN) of KBTe2N at its PBEsol-relaxed geometry.

```
data_KBTe2N
_cell_length_a 6.646
_cell_length_b 6.646
_cell_length_c 2.742
_cell_angle_alpha 90.00
_cell_angle_beta 90.00
_cell_angle_gamma 90.00
_space_group_name_H-M_alt 'P 4/m m m'
_space_group_IT_number 123
_space_group_name_Hall '-P 4 2'
loop_
_atom_site_label
_atom_site_fract_x
_atom_site_fract_y
_atom_site_fract_z
_atom_site_occupancy
K1 0.000 0.000 0.000 1
B1 0.500 0.500 0.500 1
Te1 0.000 0.500 0.500 1
N1 0.500 0.500 0.000 1
```

Formation energy (no corrections) in meV/atom: -270

---

Record 9
The following is a DFT calculation (SCAN) of KNaB3 at its PBEsol-relaxed geometry.

```
data_KNaB3
_cell_length_a 4.701
_cell_length_b 4.701
_cell_length_c 4.701
_cell_angle_alpha 90.00
_cell_angle_beta 90.00
_cell_angle_gamma 90.00
_space_group_name_H-M_alt 'P m -3 m'
_space_group_IT_number 221
_space_group_name_Hall '-P 4 2 3'
loop_
_atom_site_label
_atom_site_fract_x
_atom_site_fract_y
_atom_site_fract_z
_atom_site_occupancy
K1 0.000 0.000 0.000 1
Na1 0.500 0.500 0.500 1
B1 0.000 0.500 0.500 1
```

DFT formation energy in eV per atom: 2.47

---

Record 10
The following is a DFT calculation (SCAN) of KNa2B2 at its PBEsol-relaxed geometry.

```
data_KNa2B2
_cell_length_a 8.634
_cell_length_b 8.634
_cell_length_c 2.474
_cell_angle_alpha 90.00
_cell_angle_beta 90.00
_cell_angle_gamma 90.00
_space_group_name_H-M_alt 'P 4/m b m'
_space_group_IT_number 127
_space_group_name_Hall '-P 4 2ab'
loop_
_atom_site_label
_atom_site_fract_x
_atom_site_fract_y
_atom_site_fract_z
_atom_site_occupancy
K1 0.000 0.000 0.000 1
Na1 0.123 0.377 0.000 1
B1 0.173 0.673 0.500 1
```

DFT formation energy in eV per atom: 1.29

---

Record 11
The following is a DFT calculation (SCAN) of K2NaNbB at its PBEsol-relaxed geometry.

```
data_K2NaNbB
_cell_length_a 6.549
_cell_length_b 6.549
_cell_length_c 5.968
_cell_angle_alpha 90.00
_cell_angle_beta 90.00
_cell_angle_gamma 90.00
_space_group_name_H-M_alt 'P 4/m m m'
_space_group_IT_number 123
_space_group_name_Hall '-P 4 2'
loop_
_atom_site_label
_atom_site_fract_x
_atom_site_fract_y
_atom_site_fract_z
_atom_site_occupancy
K1 0.000 0.500 0.000 1
Na1 0.000 0.000 0.500 1
Nb1 0.000 0.000 0.000 1
B1 0.500 0.500 0.500 1
```

DFT formation energy in eV per atom: 2.01

---

Record 12
The following is a DFT calculation (SCAN) of K2NaB9O15 at its PBEsol-relaxed geometry.

```
data_K2NaB9O15
_cell_length_a 9.048
_cell_length_b 6.656
_cell_length_c 20.751
_cell_angle_alpha 90.00
_cell_angle_beta 94.14
_cell_angle_gamma 90.00
_space_group_name_H-M_alt 'P 1 21/c 1'
_space_group_IT_number 14
loop_
_space_group_symop_operation_xyz
'x,y,z'
'-x,-y,-z'
'-x,y+1/2,-z+1/2'
'x,-y+1/2,z+1/2'
loop_
_atom_site_label
_atom_site_fract_x
_atom_site_fract_y
_atom_site_fract_z
_atom_site_occupancy
K1 0.086 0.176 0.121 1
K2 0.279 0.193 0.970 1
Na1 0.436 0.518 0.244 1
B1 0.004 0.713 0.123 1
B2 0.085 0.534 0.221 1
B3 0.154 0.222 0.284 1
B4 0.173 0.750 0.034 1
B5 0.256 0.747 0.922 1
B6 0.307 0.572 0.824 1
B7 0.340 0.501 0.090 1
B8 0.384 0.647 0.613 1
B9 0.497 0.695 0.374 1
O1 0.028 0.732 0.561 1
O2 0.031 0.108 0.249 1
O3 0.108 0.594 0.158 1
O4 0.118 0.217 0.850 1
O5 0.152 0.704 0.465 1
O6 0.188 0.101 0.746 1
O7 0.210 0.617 0.872 1
O8 0.237 0.547 0.041 1
O9 0.274 0.598 0.567 1
O10 0.287 0.092 0.286 1
O11 0.370 0.197 0.600 1
O12 0.395 0.676 0.426 1
O13 0.417 0.650 0.126 1
O14 0.426 0.698 0.817 1
O15 0.466 0.507 0.647 1
```

Formation energy (no corrections) in meV/atom: -2618

---

Record 13
The following is a DFT calculation (SCAN) of K3NaB12O20 at its PBEsol-relaxed geometry.

```
data_K3NaB12O20
_cell_length_a 6.663
_cell_length_b 9.132
_cell_length_c 20.838
_cell_angle_alpha 94.03
_cell_angle_beta 90.29
_cell_angle_gamma 90.11
_space_group_name_H-M_alt 'P 1'
_space_group_IT_number 1
loop_
_space_group_symop_operation_xyz
'x,y,z'
loop_
_atom_site_label
_atom_site_fract_x
_atom_site_fract_y
_atom_site_fract_z
_atom_site_occupancy
K1 0.000 0.000 0.000 1
K2 0.009 0.816 0.153 1
K3 0.133 0.818 0.651 1
K4 0.144 0.998 0.498 1
K5 0.350 0.663 0.879 1
K6 0.497 0.179 0.740 1
K7 0.520 0.366 0.586 1
K8 0.622 0.365 0.090 1
K9 0.638 0.178 0.241 1
Na1 0.311 0.524 0.366 1
Na2 0.811 0.654 0.375 1
Na3 0.840 0.528 0.866 1
B1 0.011 0.580 0.999 1
B2 0.030 0.103 0.744 1
B3 0.031 0.947 0.837 1
B4 0.066 0.261 0.156 1
B5 0.072 0.341 0.046 1
B6 0.073 0.340 0.541 1
B7 0.076 0.262 0.651 1
B8 0.104 0.095 0.245 1
B9 0.105 0.935 0.337 1
B10 0.127 0.584 0.496 1
B11 0.183 0.477 0.725 1
B12 0.245 0.394 0.949 1
B13 0.290 0.174 0.342 1
B14 0.316 0.431 0.210 1
B15 0.318 0.743 0.036 1
B16 0.349 0.015 0.901 1
B17 0.394 0.783 0.296 1
B18 0.470 0.705 0.508 1
B19 0.530 0.594 0.738 1
B20 0.538 0.085 0.997 1
B21 0.539 0.248 0.906 1
B22 0.564 0.836 0.198 1
B23 0.568 0.919 0.087 1
B24 0.575 0.918 0.584 1
B25 0.584 0.838 0.694 1
B26 0.607 0.243 0.403 1
B27 0.610 0.084 0.495 1
B28 0.622 0.594 0.245 1
B29 0.671 0.701 0.014 1
B30 0.755 0.785 0.792 1
B31 0.791 0.004 0.399 1
B32 0.823 0.747 0.531 1
B33 0.831 0.432 0.704 1
B34 0.844 0.183 0.840 1
B35 0.899 0.395 0.443 1
B36 0.964 0.474 0.232 1
O1 0.020 0.714 0.522 1
O2 0.021 0.237 0.087 1
O3 0.021 0.516 0.438 1
O4 0.042 0.971 0.272 1
O5 0.046 0.118 0.184 1
O6 0.090 0.122 0.682 1
O7 0.098 0.982 0.772 1
O8 0.112 0.508 0.942 1
O9 0.120 0.236 0.583 1
O10 0.121 0.712 0.025 1
O11 0.147 0.479 0.546 1
O12 0.167 0.508 0.245 1
O13 0.202 0.921 0.878 1
O14 0.205 0.298 0.997 1
O15 0.221 0.057 0.372 1
O16 0.221 0.200 0.280 1
O17 0.230 0.362 0.683 1
O18 0.232 0.803 0.335 1
O19 0.269 0.324 0.163 1
O20 0.325 0.561 0.758 1
O21 0.330 0.622 0.475 1
O22 0.363 0.858 0.080 1
O23 0.407 0.378 0.911 1
O24 0.421 0.982 0.961 1
O25 0.423 0.129 0.870 1
O26 0.423 0.818 0.552 1
O27 0.429 0.275 0.365 1
O28 0.440 0.881 0.250 1
O29 0.469 0.659 0.005 1
O30 0.514 0.463 0.219 1
O31 0.516 0.697 0.687 1
O32 0.518 0.664 0.302 1
O33 0.532 0.942 0.653 1
O34 0.546 0.207 0.468 1
O35 0.556 0.061 0.557 1
O36 0.590 0.061 0.059 1
O37 0.607 0.208 0.970 1
O38 0.610 0.940 0.156 1
O39 0.632 0.461 0.713 1
O40 0.639 0.698 0.193 1
O41 0.641 0.660 0.795 1
O42 0.672 0.670 0.496 1
O43 0.705 0.884 0.747 1
O44 0.711 0.285 0.865 1
O45 0.719 0.818 0.055 1
O46 0.721 0.121 0.368 1
O47 0.724 0.979 0.460 1
O48 0.735 0.375 0.405 1
O49 0.778 0.855 0.577 1
O50 0.808 0.620 0.979 1
O51 0.826 0.558 0.265 1
O52 0.875 0.326 0.657 1
O53 0.907 0.064 0.869 1
O54 0.910 0.207 0.778 1
O55 0.912 0.809 0.833 1
O56 0.915 0.361 0.188 1
O57 0.928 0.903 0.375 1
O58 0.948 0.295 0.489 1
O59 0.982 0.512 0.738 1
O60 0.993 0.478 0.051 1
```

Formation energy (no corrections) in meV/atom: -2618

---

Record 14
The following is a DFT calculation (SCAN) of KNaSr8B6O18 at its PBEsol-relaxed geometry.

```
data_KNaSr8B6O18
_cell_length_a 6.870
_cell_length_b 10.934
_cell_length_c 6.879
_cell_angle_alpha 90.00
_cell_angle_beta 119.72
_cell_angle_gamma 90.00
_space_group_name_H-M_alt 'P 1 m 1'
_space_group_IT_number 6
loop_
_space_group_symop_operation_xyz
'x,y,z'
'x,-y,z'
loop_
_atom_site_label
_atom_site_fract_x
_atom_site_fract_y
_atom_site_fract_z
_atom_site_occupancy
K1 0.000 0.000 0.000 1
Na1 0.265 0.500 0.260 1
Sr1 0.177 0.246 0.572 1
Sr2 0.473 0.000 0.994 1
Sr3 0.605 0.224 0.427 1
Sr4 0.747 0.280 0.002 1
Sr5 0.890 0.500 0.707 1
B1 0.181 0.257 0.002 1
B2 0.430 0.500 0.680 1
B3 0.512 0.000 0.591 1
B4 0.833 0.500 0.261 1
B5 0.932 0.000 0.410 1
O1 0.092 0.000 0.633 1
O2 0.187 0.275 0.204 1
O3 0.265 0.500 0.735 1
O4 0.373 0.221 0.997 1
O5 0.459 0.000 0.369 1
O6 0.510 0.391 0.636 1
O7 0.550 0.109 0.710 1
O8 0.811 0.390 0.350 1
O9 0.848 0.110 0.289 1
O10 0.874 0.500 0.083 1
O11 0.979 0.272 0.802 1
```

Formation energy (no corrections) in meV/atom: -3012